BiTePbO6: relaxed, GGA-PBE.

Lattice parameters (Å, degrees): 5.664 5.664 5.321 90.00 90.00 59.99
Fractional coordinates of all 9 atoms:
1 O 0.609 0.039 0.287
2 O 0.039 0.609 0.713
3 O 0.352 0.039 0.713
4 O 0.353 0.609 0.287
5 O 0.039 0.353 0.287
6 O 0.609 0.353 0.713
7 Pb 0.000 0.000 0.000
8 Bi 0.667 0.667 0.500
9 Te 0.333 0.333 0.500

## Properties
magnetic moment	0.80	μB per formula unit
E_tot	-5.520	eV/atom
ΔE_f (raw)	-9.20	eV per formula unit

---

Bi2TePbO6: relaxed, GGA-PBE.

Lattice parameters (Å, degrees): 6.375 6.374 6.259 59.37 59.33 59.88
Fractional coordinates of all 10 atoms:
1 Bi 0.541 0.541 0.378
2 Bi 0.017 0.017 0.948
3 O 0.206 0.883 0.240
4 O 0.883 0.672 0.239
5 O 0.390 0.655 0.788
6 O 0.670 0.206 0.240
7 O 0.168 0.391 0.787
8 O 0.656 0.167 0.787
9 Te 0.327 0.328 0.018
10 Pb 0.803 0.803 0.590

## Properties
magnetic moment	0.00	μB per formula unit
E_tot	-5.551	eV/atom
ΔE_f (raw)	-11.15	eV per formula unit

---

TiBi2PbO6: relaxed, GGA-PBE.

Lattice parameters (Å, degrees): 6.256 8.517 8.517 61.37 71.61 71.61
Fractional coordinates of all 20 atoms:
1 Bi 0.774 0.597 0.876
2 Bi 0.226 0.403 0.124
3 Bi 0.726 0.124 0.403
4 Bi 0.274 0.876 0.597
5 O 0.822 0.970 0.195
6 O 0.322 0.195 0.970
7 O 0.969 0.404 0.744
8 O 0.031 0.596 0.256
9 O 0.469 0.744 0.404
10 O 0.678 0.805 0.030
11 O 0.562 0.354 0.176
12 O 0.531 0.256 0.596
13 O 0.062 0.176 0.354
14 O 0.938 0.824 0.646
15 O 0.438 0.646 0.824
16 O 0.178 0.030 0.805
17 Ti 0.250 0.243 0.757
18 Ti 0.750 0.757 0.243
19 Pb 0.750 0.146 0.854
20 Pb 0.250 0.854 0.146

## Properties
magnetic moment	0.00	μB per formula unit
E_tot	-6.576	eV/atom
ΔE_f (raw)	-16.64	eV per formula unit